Entry 1:
This record from Alexandria describes a geometry-optimized InTcHRu2 structure. The functional is PBE.

Computed properties:
uncorrected energy = -33.7 eV per cell
total magnetic moment = 2.2 Bohr magnetons per cell

Lattice parameters (Å, degrees): 4.065 4.065 3.941 90.00 90.00 90.00
Space group P4/mmm (No. 123)
Unique sites:
In 0.000 0.000 0.000 x1
Tc 0.500 0.500 0.000 x1
H 0.500 0.500 0.500 x1
Ru 0.000 0.500 0.500 x2


Entry 2:
This record from Alexandria describes a geometry-optimized Nb2GaPt structure. The functional is PBE.

Computed properties:
energy relative to the elements = 0.18 eV/f.u.
total magnetic moment = 0.0 Bohr magnetons per cell

Lattice parameters (Å, degrees): 3.832 3.832 19.681 90.00 90.00 90.00
Space group I-42d (No. 122)
Unique sites:
Nb 0.241 0.250 0.125 x8
Ga 0.000 0.000 0.000 x4
Pt 0.000 0.000 0.500 x4


Entry 3:
This record from Alexandria describes a geometry-optimized LiHg2Cl structure. The functional is PBE.

Computed properties:
raw formation energy = -0.8255 eV/atom
total magnetic moment = 0.0 Bohr magnetons per cell
energy above the lowest structure with this stoichiometry = 0.006 eV/atom

Lattice parameters (Å, degrees): 19.829 3.445 3.464 90.00 99.75 90.00
Space group C2/m (No. 12)
Unique sites:
Li 0.000 0.000 0.000 x2
Hg 0.186 0.500 0.189 x4
Cl 0.000 0.500 0.500 x2


Entry 4:
This record from Alexandria describes a geometry-optimized Tm4CdGa3 structure. The functional is PBE.

Computed properties:
energy relative to the elements = -3.99 eV/f.u.
total magnetic moment = 0.0 Bohr magnetons per cell

Lattice parameters (Å, degrees): 10.106 7.115 5.052 90.00 90.00 90.00
Space group Pmma (No. 51)
Unique sites:
Tm 0.000 0.243 0.000 x4
Tm 0.250 0.243 0.499 x4
Cd 0.000 0.500 0.500 x2
Ga 0.000 0.000 0.500 x2
Ga 0.250 0.000 0.998 x2
Ga 0.250 0.500 0.998 x2


Entry 5:
This record from Alexandria describes a geometry-optimized SmSnPb structure. The functional is PBE.

Computed properties:
energy relative to the elements = -0.86 eV/f.u.
total magnetic moment = 0.0 Bohr magnetons per cell
energy above the lowest structure with this stoichiometry = 0.247 eV/atom

Lattice parameters (Å, degrees): 4.450 4.450 9.242 90.00 90.00 90.00
Space group I4mm (No. 107)
Unique sites:
Sm 0.000 0.000 0.000 x2
Sn 0.000 0.000 0.652 x2
Pb 0.000 0.000 0.341 x2


Entry 6:
This record from Alexandria describes a geometry-optimized SrMgZr2Ti structure. The functional is PBE.

Computed properties:
energy relative to the elements = 9.12 eV/f.u.
total magnetic moment = 0.0 Bohr magnetons per cell

Lattice parameters (Å, degrees): 5.114 5.114 5.226 90.00 90.00 90.00
Space group P4/mmm (No. 123)
Unique sites:
Sr 0.000 0.000 0.000 x1
Mg 0.000 0.000 0.500 x1
Zr 0.000 0.500 0.000 x2
Ti 0.500 0.500 0.500 x1


Entry 7:
This record from Alexandria describes a geometry-optimized BaTl2Cd structure. The functional is PBE.

Computed properties:
energy relative to the elements = -0.79 eV/f.u.
total magnetic moment = 0.0 Bohr magnetons per cell

Lattice parameters (Å, degrees): 3.877 4.148 7.970 90.00 90.00 90.00
Space group Pmmm (No. 47)
Unique sites:
Ba 0.000 0.000 0.000 x1
Tl 0.500 0.500 0.297 x2
Cd 0.000 0.000 0.500 x1


Entry 8:
This record from Alexandria describes a geometry-optimized CaMg2Sb structure. The functional is PBE.

Computed properties:
raw formation energy = -0.3140 eV/atom
total magnetic moment = 0.0 Bohr magnetons per cell
energy above the lowest structure with this stoichiometry = 0.106 eV/atom

Lattice parameters (Å, degrees): 3.486 4.601 6.879 90.00 103.06 90.00
Space group Pm (No. 6)
Unique sites:
Ca 0.000 0.000 0.000 x1
Mg 0.244 0.000 0.494 x1
Mg 0.644 0.500 0.299 x1
Sb 0.408 0.500 0.787 x1


Entry 9:
This record from Alexandria describes a geometry-optimized SrZnCu2Rh structure. The functional is PBE.

Computed properties:
energy relative to the elements = 8.61 eV/f.u.
total magnetic moment = 1.4 Bohr magnetons per cell

Lattice parameters (Å, degrees): 5.147 5.147 5.496 90.00 90.00 90.00
Space group P4/mmm (No. 123)
Unique sites:
Sr 0.000 0.000 0.000 x1
Zn 0.000 0.000 0.500 x1
Cu 0.000 0.500 0.000 x2
Rh 0.500 0.500 0.500 x1


Entry 10:
This record from Alexandria describes a geometry-optimized TeHF structure. The functional is PBE.

Computed properties:
total magnetic moment = 0.0 Bohr magnetons per cell
energy above the lowest structure with this stoichiometry = 0.121 eV/atom

Lattice parameters (Å, degrees): 3.981 5.275 6.555 95.45 90.83 111.50
Space group P1 (No. 1)
Unique sites:
Te 0.000 0.000 0.000 x1
Te 0.374 0.755 0.729 x1
H 0.227 0.452 0.840 x1
H 0.641 0.286 0.395 x1
F 0.605 0.209 0.200 x1
F 0.670 0.346 0.553 x1


Entry 11:
This record from Alexandria describes a geometry-optimized Al2TlOs structure. The functional is PBE.

Computed properties:
energy relative to the elements = 0.96 eV/f.u.
total magnetic moment = 0.0 Bohr magnetons per cell
energy above the lowest structure with this stoichiometry = 0.325 eV/atom

Lattice parameters (Å, degrees): 3.311 4.375 5.220 90.00 106.87 90.00
Space group Pm (No. 6)
Unique sites:
Al 0.000 0.000 0.000 x1
Al 0.417 0.500 0.821 x1
Tl 0.716 0.000 0.469 x1
Os 0.114 0.500 0.233 x1


Entry 12:
This record from Alexandria describes a geometry-optimized PrH4Pd2 structure. The functional is PBE.

Computed properties:
uncorrected energy = -123.6 eV per cell
total magnetic moment = 0.0 Bohr magnetons per cell

Lattice parameters (Å, degrees): 3.296 9.629 9.270 90.00 90.00 90.00
Space group Cmcm (No. 63)
Unique sites:
Pr 0.000 0.090 0.250 x4
H 0.000 0.000 0.000 x4
H 0.000 0.247 0.599 x8
H 0.000 0.402 0.250 x4
Pd 0.000 0.364 0.056 x8


Entry 13:
This record from Alexandria describes a geometry-optimized Sc3Si4Pt7 structure. The functional is PBE.

Computed properties:
raw formation energy = -1.0641 eV/atom
total magnetic moment = 0.0 Bohr magnetons per cell

Lattice parameters (Å, degrees): 15.101 3.928 9.184 90.00 123.88 90.00
Space group C2/m (No. 12)
Unique sites:
Sc 0.000 0.000 0.000 x2
Sc 0.171 0.500 0.667 x4
Si 0.112 0.000 0.826 x4
Si 0.169 0.500 0.269 x4
Pt 0.000 0.000 0.500 x2
Pt 0.008 0.500 0.268 x4
Pt 0.169 0.000 0.423 x4
Pt 0.195 0.500 0.041 x4


Entry 14:
This record from Alexandria describes a geometry-optimized KLiGaHg2 structure. The functional is PBE.

Computed properties:
energy relative to the elements = -0.63 eV/f.u.
total magnetic moment = 0.0 Bohr magnetons per cell
energy above the lowest structure with this stoichiometry = 0.000 eV/atom

Lattice parameters (Å, degrees): 5.380 5.380 5.251 90.00 90.00 90.00
Space group P4/mmm (No. 123)
Unique sites:
K 0.000 0.000 0.000 x1
Li 0.500 0.500 0.000 x1
Ga 0.500 0.500 0.500 x1
Hg 0.000 0.500 0.500 x2


Entry 15:
This record from Alexandria describes a geometry-optimized LiMgIr2 structure. The functional is PBE.

Computed properties:
energy relative to the elements = -0.52 eV/f.u.
total magnetic moment = 0.0 Bohr magnetons per cell

Lattice parameters (Å, degrees): 3.778 3.778 8.205 90.00 90.00 90.00
Space group I4/mmm (No. 139)
Unique sites:
Li 0.000 0.000 0.000 x2
Mg 0.000 0.000 0.500 x2
Ir 0.000 0.500 0.250 x4


Entry 16:
This record from Alexandria describes a geometry-optimized LaNdNi2 structure. The functional is PBE.

Computed properties:
energy relative to the elements = -0.93 eV/f.u.
total magnetic moment = 0.0 Bohr magnetons per cell
energy above the lowest structure with this stoichiometry = 0.095 eV/atom

Lattice parameters (Å, degrees): 4.996 4.996 3.491 90.00 90.00 90.00
Space group P4/mmm (No. 123)
Unique sites:
La 0.000 0.000 0.000 x1
Nd 0.500 0.500 0.000 x1
Ni 0.000 0.500 0.500 x2


Entry 17:
This record from Alexandria describes a geometry-optimized PrErZnFe structure. The functional is PBE.

Computed properties:
energy relative to the elements = -0.06 eV/f.u.
total magnetic moment = 5.2 Bohr magnetons per cell

Lattice parameters (Å, degrees): 7.067 7.067 7.067 90.00 90.00 90.00
Space group F-43m (No. 216)
Unique sites:
Pr 0.000 0.000 0.000 x4
Er 0.000 0.000 0.500 x4
Zn 0.250 0.250 0.250 x4
Fe 0.250 0.250 0.750 x4


Entry 18:
This record from Alexandria describes a geometry-optimized ErGe3Ir3 structure. The functional is PBE.

Computed properties:
energy relative to the elements = -3.18 eV/f.u.
total magnetic moment = 0.0 Bohr magnetons per cell
energy above the lowest structure with this stoichiometry = 0.000 eV/atom

Lattice parameters (Å, degrees): 6.8760 6.8760 20.4127 90.00 90.00 120.00
Space group R-3 (No. 148, hexagonal axes)
Unique sites:
Er 0.0000 0.0000 0.1722 x6
Ge 0.0302 0.6067 0.0638 x18
Ir 0.0128 0.7614 0.9430 x18


Entry 19:
This record from Alexandria describes a geometry-optimized AcSmCuBi structure. The functional is PBE.

Computed properties:
energy relative to the elements = -1.27 eV/f.u.
total magnetic moment = 0.0 Bohr magnetons per cell

Lattice parameters (Å, degrees): 7.802 7.802 7.802 90.00 90.00 90.00
Space group F-43m (No. 216)
Unique sites:
Ac 0.000 0.000 0.000 x4
Sm 0.000 0.000 0.500 x4
Cu 0.250 0.250 0.750 x4
Bi 0.250 0.250 0.250 x4


Entry 20:
This record from Alexandria describes a geometry-optimized Cs2RbClF2 structure. The functional is PBE.

Computed properties:
raw formation energy = -2.3180 eV/atom
total magnetic moment = 0.2 Bohr magnetons per cell

Lattice parameters (Å, degrees): 5.174 5.174 7.603 90.00 90.00 90.00
Space group P4/mmm (No. 123)
Unique sites:
Cs 0.000 0.000 0.243 x2
Rb 0.500 0.500 0.000 x1
Cl 0.500 0.500 0.500 x1
F 0.000 0.500 0.000 x2